## K2Sb2P (PBE)

Data for an optimized crystal structure of K2Sb2P.

Properties
As for the total energy: -3.30 eV per atom. As for the crystal system: tetragonal. As for the space group: P4/mbm, No. 127. For the size of the total moment, the calculation gives 0.00 μB per formula unit. For the density of states at the Fermi level, the calculation gives 5.03 states/eV/cell. The value obtained for the energy above the lowest structure with this stoichiometry is 0.000 eV/atom. The calculation puts the formation energy without anion corrections at -129 meV per atom.

abc: 7.5032 7.5032 5.6211
angles: 90.00 90.00 90.00
Closest atoms and distances in Å follow each position.
Element x y z (fractional)
Sb  0.1375  0.3625  0.0000  2 P 2.91, 1 Sb 2.92
Sb  0.6375  0.1375  0.0000  2 P 2.91, 1 Sb 2.92
K  0.1744  0.6744  0.5000  6 Sb 3.45-3.67, 1 K 3.70
K  0.6744  0.8256  0.5000  6 Sb 3.45-3.67, 1 K 3.70
K  0.3256  0.1744  0.5000  6 Sb 3.45-3.67, 1 K 3.70
P  0.0000  0.0000  0.0000  4 Sb 2.91
Sb  0.8625  0.6375  0.0000  2 P 2.91, 1 Sb 2.92
Sb  0.3625  0.8625  0.0000  2 P 2.91, 1 Sb 2.92
P  0.5000  0.5000  0.0000  4 Sb 2.91
K  0.8256  0.3256  0.5000  6 Sb 3.45-3.67, 1 K 3.70